Entry 1:
The following is a PBE-GGA calculation of a geometry-optimized BeZn3Ni6 structure, from Alexandria via LeMat-Bulk.

Calculated values
Formation energy, eV/atom: -0.213

Structure (POSCAR):
```
BeZn3Ni6
1.0
7.319 0.000 0.000
0.000 3.795 0.000
-1.223 0.000 8.094
Be Zn Ni
2 6 12
direct
0.053 0.250 0.392
0.947 0.750 0.608
0.241 0.250 0.993
0.347 0.750 0.789
0.450 0.250 0.597
0.550 0.750 0.403
0.653 0.250 0.211
0.759 0.750 0.007
0.044 0.750 0.886
0.126 0.250 0.676
0.148 0.750 0.193
0.219 0.750 0.488
0.333 0.250 0.298
0.447 0.750 0.098
0.553 0.250 0.902
0.667 0.750 0.702
0.781 0.250 0.512
0.852 0.250 0.807
0.874 0.750 0.324
0.956 0.250 0.114
```

***

Entry 2:
The following is a PBE-GGA calculation of a geometry-optimized AlInNi structure, from Alexandria via LeMat-Bulk.

Calculated values
Formation energy, eV/atom: 0.302

Structure (POSCAR):
```
AlInNi
1.0
6.134 0.000 0.000
0.000 6.134 0.000
0.000 0.000 6.134
Al In Ni
4 4 4
direct
0.000 0.000 0.000
0.000 0.500 0.500
0.500 0.000 0.500
0.500 0.500 0.000
0.250 0.250 0.250
0.250 0.750 0.750
0.750 0.250 0.750
0.750 0.750 0.250
0.000 0.000 0.500
0.000 0.500 0.000
0.500 0.000 0.000
0.500 0.500 0.500
```

***

Entry 3:
The following is a PBE-GGA calculation of a geometry-optimized Ta2HgI6 structure, from Alexandria via LeMat-Bulk.

Calculated values
DFT total energy, eV per atom: -3.97

Structure (POSCAR):
```
Ta2HgI6
1.0
8.131 -1.822 0.000
8.131 1.822 0.000
-0.602 0.000 12.116
Ta Hg I
2 1 6
direct
0.232 0.232 0.399
0.768 0.768 0.601
0.500 0.500 0.000
0.135 0.135 0.582
0.278 0.278 0.174
0.392 0.392 0.686
0.608 0.608 0.314
0.722 0.722 0.826
0.865 0.865 0.418
```